(1)
VASP calculation (PBE-GGA) on crystalline Ho2ZnTe at its relaxed geometry.

The structure in POSCAR format:
```
Ho2ZnTe
1.0
4.220 0.000 0.000
0.000 23.383 0.000
0.000 0.000 4.255
Ho Zn Te
8 4 4
Cartesian
0.000 1.458 1.064
0.000 7.801 1.064
0.000 15.582 3.191
0.000 21.925 3.191
2.110 3.891 3.191
2.110 10.234 3.191
2.110 13.149 1.064
2.110 19.492 1.064
0.000 10.812 1.064
0.000 12.571 3.191
2.110 0.879 3.191
2.110 22.504 1.064
0.000 4.578 1.064
0.000 18.804 3.191
2.110 7.113 3.191
2.110 16.270 1.064
```

Computed properties:
energy above the lowest structure with this stoichiometry	0	meV/atom
crystal system	orthorhombic
raw formation energy	-3.2	eV per formula unit
symmetry	Cmcm, No. 63

***

(2)
VASP calculation (PBE-GGA) on crystalline Zn4CrAu at its relaxed geometry.

The structure in POSCAR format:
```
Zn4CrAu
1.0
0.000 3.577 3.577
3.577 0.000 3.577
3.577 3.577 0.000
Zn Cr Au
4 1 1
Cartesian
0.894 0.894 0.894
2.683 2.683 0.894
2.683 0.894 2.683
0.894 2.683 2.683
3.577 3.577 3.577
5.366 5.366 5.366
```

Computed properties:
crystal system	cubic
symmetry	F-43m, No. 216
energy relative to the elements	0.040	eV/atom

***

(3)
VASP calculation (PBE-GGA) on crystalline LuPaCu2 at its relaxed geometry.

The structure in POSCAR format:
```
LuPaCu2
1.0
3.287 0.000 0.000
-1.643 2.847 0.000
0.000 0.000 26.383
Lu Pa Cu
3 3 6
Cartesian
0.000 0.000 0.000
0.000 1.898 17.589
1.643 0.949 8.794
0.000 0.000 13.192
0.000 1.898 4.397
1.643 0.949 21.986
0.000 0.000 6.683
0.000 0.000 19.700
0.000 1.898 10.905
0.000 1.898 24.272
1.643 0.949 2.111
1.643 0.949 15.478
```

Computed properties:
energy above the lowest structure with this stoichiometry	203	meV/atom
crystal system	trigonal
symmetry	R-3m, No. 166
energy relative to the elements	0.152	eV/atom

***

| no. | calculated density (g cm⁻³) | electronic total energy (eV/atom) |
| --- | --- | --- |
| 1 | 8.27 | -4.198 |
| 2 | 9.26 | -2.959 |
| 3 | 10.76 | -5.400 |